Entry 1:
# Cd2NiBr | the Alexandria database | PBE-GGA | relaxed
data_Cd2NiBr
_cell_length_a 7.010
_cell_length_b 7.010
_cell_length_c 7.010
_cell_angle_alpha 90.00
_cell_angle_beta 90.00
_cell_angle_gamma 90.00
_space_group_name_H-M_alt 'F m -3 m'
_space_group_IT_number 225
_space_group_name_Hall '-F 4 2 3'
loop_
_atom_site_label
_atom_site_type_symbol
_atom_site_fract_x
_atom_site_fract_y
_atom_site_fract_z
Cd1 Cd 0.250 0.250 0.250
Ni1 Ni 0.000 0.000 0.000
Br1 Br 0.000 0.000 0.500
# Total magnetization (Bohr magnetons per cell): 0.00
# Crystal system: cubic
# Formation energy (no corrections) (eV per atom): 0.474
# ΔE to the lowest computed polymorph (eV per atom): 0.498

***

Entry 2:
# AlReSb2 | the Alexandria database | PBE-GGA | relaxed
data_AlReSb2
_cell_length_a 3.542
_cell_length_b 4.540
_cell_length_c 4.969
_cell_angle_alpha 90.00
_cell_angle_beta 90.00
_cell_angle_gamma 90.00
_space_group_name_H-M_alt 'P m m m'
_space_group_IT_number 47
loop_
_space_group_symop_operation_xyz
'x,y,z'
'-x,-y,-z'
'-x,-y,z'
'x,y,-z'
'x,-y,-z'
'-x,y,z'
'-x,y,-z'
'x,-y,z'
loop_
_atom_site_label
_atom_site_type_symbol
_atom_site_fract_x
_atom_site_fract_y
_atom_site_fract_z
Al1 Al 0.000 0.000 0.000
Re1 Re 0.500 0.000 0.500
Sb1 Sb 0.000 0.500 0.500
Sb2 Sb 0.500 0.500 0.000
# Total magnetization (Bohr magnetons per cell): 0.00
# Crystal system: orthorhombic
# Formation energy (no corrections) (eV per atom): 0.745

***

Entry 3:
# LiCe3Ho2Te6 | the Alexandria database | PBE-GGA | relaxed
data_LiCe3Ho2Te6
_cell_length_a 19.268
_cell_length_b 4.387
_cell_length_c 8.852
_cell_angle_alpha 90.00
_cell_angle_beta 103.89
_cell_angle_gamma 90.00
_space_group_name_H-M_alt 'C 1 2/m 1'
_space_group_IT_number 12
loop_
_space_group_symop_operation_xyz
'x,y,z'
'-x,-y,-z'
'-x,y,-z'
'x,-y,z'
'x+1/2,y+1/2,z'
'-x+1/2,-y+1/2,-z'
'-x+1/2,y+1/2,-z'
'x+1/2,-y+1/2,z'
loop_
_atom_site_label
_atom_site_type_symbol
_atom_site_fract_x
_atom_site_fract_y
_atom_site_fract_z
Li1 Li 0.000 0.000 0.000
Ce1 Ce 0.000 0.000 0.500
Ce2 Ce 0.167 0.500 0.835
Ho1 Ho 0.167 0.500 0.336
Te1 Te 0.003 0.500 0.237
Te2 Te 0.161 0.000 0.091
Te3 Te 0.169 0.000 0.579
# Total magnetization (Bohr magnetons per cell): 7.37
# Crystal system: monoclinic
# Formation energy (no corrections) (eV per atom): -1.308

***

Entry 4:
# ScSiBr4 | the Alexandria database | PBE-GGA | relaxed
data_ScSiBr4
_cell_length_a 8.749
_cell_length_b 8.749
_cell_length_c 8.749
_cell_angle_alpha 90.00
_cell_angle_beta 90.00
_cell_angle_gamma 90.00
_space_group_name_H-M_alt 'F -4 3 m'
_space_group_IT_number 216
_space_group_name_Hall 'F -4 2 3'
loop_
_atom_site_label
_atom_site_type_symbol
_atom_site_fract_x
_atom_site_fract_y
_atom_site_fract_z
Sc1 Sc 0.000 0.000 0.000
Si1 Si 0.250 0.250 0.750
Br1 Br 0.126 0.126 0.374
# Total magnetization (Bohr magnetons per cell): 6.20
# Crystal system: cubic
# Formation energy (no corrections) (eV per atom): 0.630

***

Entry 5:
# YTm3Mg12 | the Alexandria database | PBE-GGA | relaxed
data_YTm3Mg12
_cell_length_a 4.602
_cell_length_b 4.602
_cell_length_c 18.891
_cell_angle_alpha 90.00
_cell_angle_beta 90.00
_cell_angle_gamma 90.00
_space_group_name_H-M_alt 'P 4/m m m'
_space_group_IT_number 123
_space_group_name_Hall '-P 4 2'
loop_
_atom_site_label
_atom_site_type_symbol
_atom_site_fract_x
_atom_site_fract_y
_atom_site_fract_z
Y1 Y 0.000 0.000 0.000
Tm1 Tm 0.000 0.000 0.251
Tm2 Tm 0.000 0.000 0.500
Mg1 Mg 0.000 0.500 0.126
Mg2 Mg 0.000 0.500 0.375
Mg3 Mg 0.500 0.500 0.000
Mg4 Mg 0.500 0.500 0.251
Mg5 Mg 0.500 0.500 0.500
# Total magnetization (Bohr magnetons per cell): 0.00
# Crystal system: tetragonal
# ΔE_f (eV/f.u.): -0.83

***

Entry 6:
# BeCd2Cl | the Alexandria database | PBE-GGA | relaxed
data_BeCd2Cl
_cell_length_a 3.922
_cell_length_b 3.922
_cell_length_c 11.293
_cell_angle_alpha 90.00
_cell_angle_beta 90.00
_cell_angle_gamma 90.00
_space_group_name_H-M_alt 'I -4 m 2'
_space_group_IT_number 119
_space_group_name_Hall 'I -4 -2'
loop_
_atom_site_label
_atom_site_type_symbol
_atom_site_fract_x
_atom_site_fract_y
_atom_site_fract_z
Be1 Be 0.000 0.000 0.000
Cd1 Cd 0.000 0.000 0.500
Cd2 Cd 0.000 0.500 0.750
Cl1 Cl 0.000 0.500 0.250
# Total magnetization (Bohr magnetons per cell): 0.00
# Crystal system: tetragonal
# Formation energy (no corrections) (eV per atom): 0.333
# ΔE to the lowest computed polymorph (eV per atom): 0.518

***

Entry 7:
# YCu2Re | the Alexandria database | PBE-GGA | relaxed
data_YCu2Re
_cell_length_a 2.8764
_cell_length_b 2.8764
_cell_length_c 27.7464
_cell_angle_alpha 90.00
_cell_angle_beta 90.00
_cell_angle_gamma 120.00
_space_group_name_H-M_alt 'R -3 m'
_space_group_IT_number 166
_space_group_name_Hall '-R 3 2"'
loop_
_atom_site_label
_atom_site_type_symbol
_atom_site_fract_x
_atom_site_fract_y
_atom_site_fract_z
Y1 Y 0.0000 0.0000 0.0000
Cu1 Cu 0.0000 0.0000 0.2419
Re1 Re 0.0000 0.0000 0.5000
# Total magnetization (Bohr magnetons per cell): 0.00
# Crystal system: trigonal
# ΔE_f (eV/f.u.): 2.38
# ΔE to the lowest computed polymorph (eV per atom): 0.332

***

Entry 8:
# VHgOs2 | the Alexandria database | PBE-GGA | relaxed
data_VHgOs2
_cell_length_a 3.982
_cell_length_b 3.982
_cell_length_c 18.012
_cell_angle_alpha 90.00
_cell_angle_beta 90.00
_cell_angle_gamma 90.00
_space_group_name_H-M_alt 'I -4 2 d'
_space_group_IT_number 122
_space_group_name_Hall 'I -4 2bw'
loop_
_atom_site_label
_atom_site_type_symbol
_atom_site_fract_x
_atom_site_fract_y
_atom_site_fract_z
V1 V 0.000 0.000 0.000
Hg1 Hg 0.000 0.000 0.500
Os1 Os 0.180 0.250 0.125
# Total magnetization (Bohr magnetons per cell): 4.23
# Crystal system: tetragonal
# ΔE_f (eV/f.u.): 3.84

***

Entry 9:
# LaTbGeIr | the Alexandria database | PBE-GGA | relaxed
data_LaTbGeIr
_cell_length_a 4.622
_cell_length_b 4.622
_cell_length_c 10.118
_cell_angle_alpha 90.00
_cell_angle_beta 90.00
_cell_angle_gamma 90.00
_space_group_name_H-M_alt 'P 4/n m m'
_space_group_IT_number 129
loop_
_space_group_symop_operation_xyz
'x,y,z'
'-x,-y,-z'
'-y+1/2,x,z'
'y+1/2,-x,-z'
'-x+1/2,-y+1/2,z'
'x+1/2,y+1/2,-z'
'y,-x+1/2,z'
'-y,x+1/2,-z'
'x+1/2,-y,-z'
'-x+1/2,y,z'
'-y,-x,-z'
'y,x,z'
'-x,y+1/2,-z'
'x,-y+1/2,z'
'y+1/2,x+1/2,-z'
'-y+1/2,-x+1/2,z'
loop_
_atom_site_label
_atom_site_type_symbol
_atom_site_fract_x
_atom_site_fract_y
_atom_site_fract_z
La1 La 0.250 0.250 0.184
Tb1 Tb 0.250 0.750 0.500
Ge1 Ge 0.250 0.250 0.896
Ir1 Ir 0.250 0.250 0.661
# Total magnetization (Bohr magnetons per cell): 0.00
# Crystal system: tetragonal
# ΔE_f (eV/f.u.): -2.30

***

Entry 10:
# AlCu3Bi | the Alexandria database | PBE-GGA | relaxed
data_AlCu3Bi
_cell_length_a 4.998
_cell_length_b 4.998
_cell_length_c 4.998
_cell_angle_alpha 90.00
_cell_angle_beta 90.00
_cell_angle_gamma 90.00
_space_group_name_H-M_alt 'P m -3 m'
_space_group_IT_number 221
_space_group_name_Hall '-P 4 2 3'
loop_
_atom_site_label
_atom_site_type_symbol
_atom_site_fract_x
_atom_site_fract_y
_atom_site_fract_z
Al1 Al 0.000 0.000 0.000
Cu1 Cu 0.000 0.500 0.500
Bi1 Bi 0.500 0.500 0.500
# Total magnetization (Bohr magnetons per cell): 0.00
# Crystal system: cubic
# ΔE_f (eV/f.u.): 4.55
# ΔE to the lowest computed polymorph (eV per atom): 0.411